{
  "formula": "Ca3CoRe",
  "functional": "PBE-GGA",
  "state": "relaxed",
  "lattice_angstrom": [[5.446, 0.000, 0.000], [0.000, 5.446, 0.000], [0.000, 0.000, 5.446]],
  "species": ["Ca", "Ca", "Ca", "Co", "Re"],
  "frac_coords": [[0.000, 0.000, 0.500], [0.000, 0.500, 0.000], [0.500, 0.000, 0.000], [0.500, 0.500, 0.500], [0.000, 0.000, 0.000]],
  "formation_enthalpy_0k_ev_per_atom": 1.26,
  "space_group": "Pm-3m (221)"
}

=====

{
  "formula": "Ca2CoRe",
  "functional": "PBE-GGA",
  "state": "relaxed",
  "lattice_angstrom": [[-5.156, 5.156, 2.214], [5.156, -5.156, 2.214], [5.156, 5.156, -2.214]],
  "species": ["Ca", "Ca", "Ca", "Ca", "Co", "Co", "Re", "Re"],
  "frac_coords": [[0.375, 0.207, 0.332], [0.793, 0.125, 0.168], [0.875, 0.043, 0.668], [0.957, 0.625, 0.832], [0.000, 0.000, 0.000], [0.750, 0.250, 0.500], [0.250, 0.750, 0.500], [0.500, 0.500, 0.000]],
  "formation_enthalpy_0k_ev_per_atom": 0.85,
  "space_group": "I-42d (122)"
}

=====

{
  "formula": "CaCoRe",
  "functional": "PBE-GGA",
  "state": "relaxed",
  "lattice_angstrom": [[5.070, 0.000, 0.000], [0.000, 3.997, 0.000], [-1.042, 0.000, 5.732]],
  "species": ["Ca", "Ca", "Co", "Co", "Re", "Re"],
  "frac_coords": [[0.000, 0.000, 0.000], [0.479, 0.500, 0.844], [0.156, 0.000, 0.512], [0.651, 0.000, 0.507], [0.371, 0.500, 0.349], [0.885, 0.500, 0.414]],
  "formation_enthalpy_0k_ev_per_atom": 0.26,
  "space_group": "Pm (6)"
}

=====

{
  "formula": "CaCoRe4",
  "functional": "PBE-GGA",
  "state": "relaxed",
  "lattice_angstrom": [[0.000, 3.721, 3.721], [3.721, 0.000, 3.721], [3.721, 3.721, 0.000]],
  "species": ["Ca", "Co", "Re", "Re", "Re", "Re"],
  "frac_coords": [[0.000, 0.000, 0.000], [0.750, 0.750, 0.750], [0.375, 0.375, 0.375], [0.375, 0.375, 0.874], [0.375, 0.874, 0.375], [0.874, 0.375, 0.375]],
  "formation_enthalpy_0k_ev_per_atom": 0.54,
  "space_group": "F-43m (216)"
}

=====

{
  "formula": "Ca3CoRe",
  "functional": "PBE-GGA",
  "state": "relaxed",
  "lattice_angstrom": [[5.177, 0.000, 0.000], [0.000, 5.177, 0.000], [0.000, 0.000, 5.177]],
  "species": ["Ca", "Ca", "Ca", "Co", "Re"],
  "frac_coords": [[0.000, 0.000, 0.500], [0.000, 0.500, 0.000], [0.500, 0.000, 0.000], [0.000, 0.000, 0.000], [0.500, 0.500, 0.500]],
  "formation_enthalpy_0k_ev_per_atom": 1.11,
  "space_group": "Pm-3m (221)"
}

=====

{
  "formula": "CaCoRe",
  "functional": "PBE-GGA",
  "state": "relaxed",
  "lattice_angstrom": [[-2.183, 2.534, 5.236], [2.183, -2.534, 5.236], [2.183, 2.534, -5.236]],
  "species": ["Ca", "Ca", "Co", "Co", "Re", "Re"],
  "frac_coords": [[0.374, 0.124, 0.250], [0.626, 0.876, 0.750], [0.000, 0.500, 0.500], [0.500, 0.500, 0.000], [0.060, 0.310, 0.750], [0.940, 0.690, 0.250]],
  "formation_enthalpy_0k_ev_per_atom": 0.36,
  "space_group": "Imma (74)"
}

=====

| no. | V (Å³/atom) |
| --- | --- |
| 1 | 32.30 |
| 2 | 29.43 |
| 3 | 19.36 |
| 4 | 17.17 |
| 5 | 27.75 |
| 6 | 19.31 |